Material: Ca3HgBr8
Method: DFT, PBE-GGA
State: optimized geometry

* calculated total energy: -3.2656 eV per atom
* DOS(E_F): 0.000 states/eV per atom

Cell lengths 14.607, 8.485, 8.522 Å; angles 90.00, 125.34, 90.00 degrees
Space group C2/m (No. 12)
Asymmetric unit:
Ca 0.000 0.000 0.000
Ca 0.250 0.250 0.500
Hg 0.000 0.500 0.000
Br 0.004 0.253 0.238
Br 0.242 0.500 0.255
Br 0.244 0.000 0.261